w | DFT (GGA-PBE) results for a geometry-optimized CrGaOs3 structure.

Summary:
Symmetry: Pm-3m, No. 221
Magnetization in μB/f.u.: 0.00

```
CrGaOs3
1.0
-1.7971 -2.6384 -3.0952
0.2241 -3.4430 2.8047
-4.0609 0.9776 1.5245
Cr Os Ga
1 3 1
Direct
0.0000 0.0000 0.0000 Cr
0.0000 0.5000 0.0000 Os
0.0000 0.0000 0.5000 Os
0.5000 0.0000 0.0000 Os
0.5000 0.5000 0.5000 Ga
```

=====

x | DFT (GGA-PBE) results for a geometry-optimized CrGaOs3 structure.

Summary:
Symmetry: Pm-3m, No. 221
Magnetization in μB/f.u.: 0.00

```
CrGaOs3
1.0
4.4301 0.0000 0.0000
0.0000 4.4301 0.0000
0.0000 0.0000 4.4301
Cr Os Ga
1 3 1
Direct
0.5000 0.5000 0.5000 Cr
0.0000 0.5000 0.0000 Os
0.0000 0.0000 0.5000 Os
0.5000 0.0000 0.0000 Os
0.0000 0.0000 0.0000 Ga
```

=====

The structure with the greatest stability is w.

=====

w | DFT (GGA-PBE) results for a geometry-optimized Cr3GaP structure.

Summary:
Symmetry: Pm-3m, No. 221
Magnetization in μB/f.u.: 0.00

```
Cr3GaP
1.0
4.1818 0.0000 0.0000
0.0000 4.1818 0.0000
0.0000 0.0000 4.1818
Cr Ga P
3 1 1
Direct
0.0000 0.5000 0.0000 Cr
0.0000 0.0000 0.5000 Cr
0.5000 0.0000 0.0000 Cr
0.5000 0.5000 0.5000 Ga
0.0000 0.0000 0.0000 P
```

=====

x | DFT (GGA-PBE) results for a geometry-optimized Cr3GaP structure.

Summary:
Symmetry: Pm-3m, No. 221
Magnetization in μB/f.u.: 10.25

```
Cr3GaP
1.0
4.6297 0.0000 0.0000
0.0000 4.6297 0.0000
0.0000 0.0000 4.6297
Cr Ga P
3 1 1
Direct
0.0000 0.5000 0.0000 Cr
0.0000 0.0000 0.5000 Cr
0.5000 0.0000 0.0000 Cr
0.0000 0.0000 0.0000 Ga
0.5000 0.5000 0.5000 P
```

=====

The structure with the greatest stability is w.

=====

w | DFT (GGA-PBE) results for a geometry-optimized CrGaP2Pd structure.

Summary:
Symmetry: P4/mmm, No. 123
Magnetization in μB/f.u.: 0.00

```
CrGaP2Pd
1.0
4.3028 0.0000 0.0000
0.0000 5.0204 0.0000
0.0000 0.0000 4.3028
Cr Ga Pd P
1 1 1 2
Direct
0.0000 0.0000 0.0000 Cr
0.5000 0.5000 0.5000 Ga
0.0000 0.5000 0.0000 Pd
0.0000 0.0000 0.5000 P
0.5000 0.0000 0.0000 P
```

=====

x | DFT (GGA-PBE) results for a geometry-optimized CrGaP2Pd structure.

Summary:
Symmetry: P4/mmm, No. 123
Magnetization in μB/f.u.: 0.19

```
CrGaP2Pd
1.0
4.5465 0.0000 0.0000
0.0000 4.9003 0.0000
0.0000 0.0000 4.5465
Cr Ga Pd P
1 1 1 2
Direct
0.0000 0.5000 0.0000 Cr
0.5000 0.5000 0.5000 Ga
0.0000 0.0000 0.0000 Pd
0.0000 0.0000 0.5000 P
0.5000 0.0000 0.0000 P
```

=====

The structure with the greatest stability is w.

=====

w | DFT (GGA-PBE) results for a geometry-optimized CrGaPb3 structure.

Summary:
Symmetry: Pm-3m, No. 221
Magnetization in μB/f.u.: 1.93

```
CrGaPb3
1.0
-0.8321 -2.5492 -4.5120
5.1720 -0.6964 -0.5604
-0.3265 -4.5349 2.6224
Pb Cr Ga
3 1 1
Direct
0.0000 0.5000 0.0000 Pb
0.0000 0.0000 0.5000 Pb
0.5000 0.0000 0.0000 Pb
0.0000 0.0000 0.0000 Cr
0.5000 0.5000 0.5000 Ga
```

=====

x | DFT (GGA-PBE) results for a geometry-optimized CrGaPb3 structure.

Summary:
Symmetry: Pm-3m, No. 221
Magnetization in μB/f.u.: 0.68

```
CrGaPb3
1.0
-1.6201 4.9544 -1.4227
-0.5115 -1.6385 -5.1234
-5.1292 -1.4015 0.9603
Pb Cr Ga
3 1 1
Direct
0.0000 0.5000 0.0000 Pb
0.0000 0.0000 0.5000 Pb
0.5000 0.0000 0.0000 Pb
0.5000 0.5000 0.5000 Cr
0.0000 0.0000 0.0000 Ga
```

=====

The structure with the greatest stability is w.

=====

w | DFT (GGA-PBE) results for a geometry-optimized Cr2GaPd8 structure.

Summary:
Symmetry: Immm, No. 71
Magnetization in μB/f.u.: 6.34

```
Cr2GaPd8
1.0
0.8107 -3.9176 -1.2842
5.7353 -0.2006 4.2325
-6.4538 0.0197 2.7393
Cr Ga Pd
2 1 8
Direct
0.1988 0.6988 0.3976 Cr
0.8012 0.3012 0.6024 Cr
0.5000 0.0000 0.0000 Ga
0.6554 0.8717 0.3107 Pd
0.3446 0.5609 0.6892 Pd
0.1398 0.1398 0.2796 Pd
0.0000 0.3149 0.0000 Pd
0.8602 0.8602 0.7204 Pd
0.6554 0.4391 0.3108 Pd
0.3446 0.1283 0.6893 Pd
0.0000 0.6851 0.0000 Pd
```

=====

x | DFT (GGA-PBE) results for a geometry-optimized Cr2GaPd8 structure.

Summary:
Symmetry: C2/m, No. 12
Magnetization in μB/f.u.: 0.01

```
Cr2GaPd8
1.0
3.8165 0.0000 0.0000
0.0000 6.0839 0.4532
-1.9082 -2.1409 6.7685
Cr Ga Pd
2 1 8
Direct
0.7671 0.3854 0.5342 Cr
0.2329 0.6146 0.4658 Cr
0.5000 0.0000 0.0000 Ga
0.4033 0.5349 0.8065 Pd
0.6826 0.9145 0.3652 Pd
0.8557 0.8023 0.7114 Pd
0.9560 0.2593 0.9119 Pd
0.1443 0.1977 0.2886 Pd
0.3174 0.0855 0.6348 Pd
0.5967 0.4651 0.1935 Pd
0.0440 0.7407 0.0881 Pd
```

=====

The structure with the greatest stability is w.

=====

w | DFT (GGA-PBE) results for a geometry-optimized Cr3GaPd structure.

Summary:
Symmetry: Pm-3m, No. 221
Magnetization in μB/f.u.: 12.30

```
Cr3GaPd
1.0
-3.9018 1.1979 -2.6184
-2.4270 -3.7410 1.9052
-1.5493 2.8435 3.6096
Cr Ga Pd
3 1 1
Direct
0.0000 0.5000 0.0000 Cr
0.0000 0.0000 0.5000 Cr
0.5000 0.0000 0.0000 Cr
0.5000 0.5000 0.5000 Ga
0.0000 0.0000 0.0000 Pd
```

=====

x | DFT (GGA-PBE) results for a geometry-optimized Cr3GaPd structure.

Summary:
Symmetry: Pm-3m, No. 221
Magnetization in μB/f.u.: 0.00

```
Cr3GaPd
1.0
4.3318 0.0000 0.0000
0.0000 4.3318 0.0000
0.0000 0.0000 4.3318
Cr Ga Pd
3 1 1
Direct
0.0000 0.5000 0.0000 Cr
0.0000 0.0000 0.5000 Cr
0.5000 0.0000 0.0000 Cr
0.0000 0.0000 0.0000 Ga
0.5000 0.5000 0.5000 Pd
```

=====

The structure with the greatest stability is w.